Material: Dy7ThSc3
Method: DFT, PBE
State: optimized geometry

Summary:
- ΔH_f (0 K) (meV/atom) = 216
- calculated volume (A^3/atom) = 31.41
- Fermi-level density of states (states/eV/cell) = 18.4
- energy relative to the lowest polymorph listed for this composition (meV/atom) = 66

abc: 8.259 6.951 6.951
angles: 120.00 90.00 90.00
Sites, in units of the cell vectors:
Dy (0.460, 0.832, 0.168)
Dy (0.110, 0.169, 0.831)
Dy (0.460, 0.336, 0.168)
Dy (0.110, 0.661, 0.831)
Dy (0.110, 0.667, 0.333)
Dy (0.110, 0.169, 0.339)
Dy (0.460, 0.832, 0.664)
Th (0.453, 0.333, 0.667)
Sc (0.781, 0.498, 0.502)
Sc (0.781, 0.005, 0.502)
Sc (0.781, 0.498, 0.995)


Material: Dy2ThSc8
Method: DFT, PBE
State: optimized geometry

Summary:
- ΔH_f (0 K) (meV/atom) = 163
- calculated volume (A^3/atom) = 26.86
- Fermi-level density of states (states/eV/cell) = 18.1

abc: 5.403 8.503 8.784
angles: 61.05 74.62 56.78
Sites, in units of the cell vectors:
Dy (0.000, 0.308, 0.384)
Dy (0.000, 0.692, 0.616)
Sc (0.500, 0.208, 0.584)
Sc (0.813, 0.329, 0.765)
Sc (0.187, 0.671, 0.235)
Sc (0.187, 0.906, 0.765)
Sc (0.500, 0.792, 0.416)
Sc (0.287, 0.446, 0.000)
Sc (0.813, 0.094, 0.235)
Sc (0.713, 0.554, 0.000)
Th (0.500, 0.000, 0.000)


Material: Dy4ThSc15
Method: DFT, PBE
State: optimized geometry

Summary:
- ΔH_f (0 K) (meV/atom) = 51
- calculated volume (A^3/atom) = 26.11
- Fermi-level density of states (states/eV/cell) = 37.8

abc: 4.714 4.714 23.506
angles: 90.00 90.00 90.00
Sites, in units of the cell vectors:
Sc (0.500, 0.500, 0.000)
Sc (0.500, 0.000, 0.901)
Sc (0.000, 0.500, 0.099)
Sc (0.500, 0.500, 0.600)
Sc (0.500, 0.000, 0.099)
Sc (0.500, 0.500, 0.201)
Sc (0.500, 0.500, 0.799)
Sc (0.000, 0.500, 0.300)
Sc (0.500, 0.000, 0.700)
Sc (0.000, 0.500, 0.700)
Sc (0.500, 0.000, 0.300)
Sc (0.500, 0.500, 0.400)
Sc (0.000, 0.500, 0.500)
Sc (0.000, 0.500, 0.901)
Sc (0.500, 0.000, 0.500)
Dy (0.000, 0.000, 0.400)
Dy (0.000, 0.000, 0.600)
Dy (0.000, 0.000, 0.200)
Dy (0.000, 0.000, 0.800)
Th (0.000, 0.000, 0.000)


Material: DyTh3Sc2
Method: DFT, PBE
State: optimized geometry

Summary:
- ΔH_f (0 K) (meV/atom) = 37
- calculated volume (A^3/atom) = 29.49
- Fermi-level density of states (states/eV/cell) = 7.6

abc: 3.517 3.517 14.305
angles: 90.00 90.00 90.00
Sites, in units of the cell vectors:
Th (0.000, 0.000, 0.677)
Th (0.000, 0.000, 0.323)
Th (0.000, 0.000, 0.000)
Sc (0.500, 0.500, 0.839)
Sc (0.500, 0.500, 0.161)
Dy (0.500, 0.500, 0.500)


Material: Dy12ThSc3
Method: DFT, PBE
State: optimized geometry

Summary:
- ΔH_f (0 K) (meV/atom) = 44
- calculated volume (A^3/atom) = 30.14
- Fermi-level density of states (states/eV/cell) = 24.8

abc: 4.947 4.947 19.706
angles: 90.00 90.00 90.00
Sites, in units of the cell vectors:
Dy (0.500, 0.500, 0.255)
Dy (0.500, 0.000, 0.624)
Dy (0.000, 0.500, 0.872)
Dy (0.000, 0.500, 0.624)
Dy (0.500, 0.500, 0.500)
Dy (0.000, 0.500, 0.376)
Dy (0.500, 0.000, 0.376)
Dy (0.500, 0.000, 0.872)
Dy (0.500, 0.500, 0.745)
Dy (0.500, 0.500, 0.000)
Dy (0.500, 0.000, 0.128)
Dy (0.000, 0.500, 0.128)
Sc (0.000, 0.000, 0.253)
Sc (0.000, 0.000, 0.500)
Sc (0.000, 0.000, 0.747)
Th (0.000, 0.000, 0.000)


Material: Dy12ThSc6
Method: DFT, PBE
State: optimized geometry

Summary:
- ΔH_f (0 K) (meV/atom) = 237
- calculated volume (A^3/atom) = 29.81
- Fermi-level density of states (states/eV/cell) = 32.4
- energy relative to the lowest polymorph listed for this composition (meV/atom) = 65

abc: 9.028 9.028 9.028
angles: 109.47 109.47 109.47
Sites, in units of the cell vectors:
Sc (0.500, 0.138, 0.638)
Sc (0.500, 0.862, 0.362)
Sc (0.362, 0.500, 0.862)
Sc (0.862, 0.362, 0.500)
Sc (0.138, 0.638, 0.500)
Sc (0.638, 0.500, 0.138)
Dy (0.538, 0.803, 0.735)
Dy (0.197, 0.735, 0.931)
Dy (0.735, 0.931, 0.197)
Dy (0.069, 0.803, 0.265)
Dy (0.197, 0.265, 0.462)
Dy (0.265, 0.462, 0.197)
Dy (0.462, 0.197, 0.265)
Dy (0.265, 0.069, 0.803)
Dy (0.803, 0.265, 0.069)
Dy (0.803, 0.735, 0.538)
Dy (0.735, 0.538, 0.803)
Dy (0.931, 0.197, 0.735)
Th (0.000, 0.000, 0.000)


Material: DyTh6Sc
Method: DFT, PBE
State: optimized geometry

Summary:
- ΔH_f (0 K) (meV/atom) = 127
- calculated volume (A^3/atom) = 31.33
- Fermi-level density of states (states/eV/cell) = 12.2
- energy relative to the lowest polymorph listed for this composition (meV/atom) = 66

abc: 5.913 8.299 8.300
angles: 41.74 69.13 69.13
Sites, in units of the cell vectors:
Th (0.622, 0.877, 0.878)
Th (0.378, 0.123, 0.122)
Th (0.122, 0.378, 0.377)
Th (0.247, 0.754, 0.752)
Th (0.878, 0.622, 0.623)
Th (0.753, 0.246, 0.248)
Sc (0.000, 0.000, 0.000)
Dy (0.500, 0.500, 0.500)


Material: Dy10ThSc4
Method: DFT, PBE
State: optimized geometry

Summary:
- ΔH_f (0 K) (meV/atom) = 605
- calculated volume (A^3/atom) = 32.56
- Fermi-level density of states (states/eV/cell) = 27.6

abc: 6.609 9.210 9.210
angles: 82.60 68.97 68.97
Sites, in units of the cell vectors:
Dy (0.965, 0.156, 0.397)
Dy (0.121, 0.397, 0.844)
Dy (0.518, 0.844, 0.603)
Dy (0.035, 0.844, 0.603)
Dy (0.879, 0.603, 0.156)
Dy (0.638, 0.397, 0.844)
Dy (0.482, 0.156, 0.397)
Dy (0.362, 0.603, 0.156)
Dy (0.750, 0.500, 0.500)
Dy (0.250, 0.500, 0.500)
Sc (0.676, 0.756, 0.893)
Sc (0.432, 0.893, 0.244)
Sc (0.568, 0.107, 0.756)
Sc (0.324, 0.244, 0.107)
Th (0.000, 0.000, 0.000)


Material: Dy7Th2Sc2
Method: DFT, PBE
State: optimized geometry

Summary:
- ΔH_f (0 K) (meV/atom) = 310
- calculated volume (A^3/atom) = 31.47
- Fermi-level density of states (states/eV/cell) = 16.1
- energy relative to the lowest polymorph listed for this composition (meV/atom) = 171

abc: 8.332 7.489 7.489
angles: 53.48 110.26 110.26
Sites, in units of the cell vectors:
Dy (0.500, 0.000, 0.000)
Dy (0.620, 0.417, 0.417)
Dy (0.783, 0.950, 0.447)
Dy (0.217, 0.050, 0.553)
Dy (0.380, 0.583, 0.583)
Dy (0.783, 0.447, 0.950)
Dy (0.217, 0.553, 0.050)
Sc (0.624, 0.835, 0.835)
Sc (0.376, 0.165, 0.165)
Th (0.000, 0.755, 0.245)
Th (0.000, 0.245, 0.755)


Material: Dy3Th2Sc4
Method: DFT, PBE
State: optimized geometry

Summary:
- ΔH_f (0 K) (meV/atom) = 115
- calculated volume (A^3/atom) = 28.43
- Fermi-level density of states (states/eV/cell) = 26.9
- energy relative to the lowest polymorph listed for this composition (meV/atom) = 0

abc: 5.778 10.756 10.756
angles: 62.83 64.23 64.23
Sites, in units of the cell vectors:
Sc (0.618, 0.405, 0.134)
Sc (0.562, 0.073, 0.828)
Sc (0.118, 0.134, 0.405)
Sc (0.382, 0.595, 0.866)
Sc (0.938, 0.172, 0.927)
Sc (0.882, 0.866, 0.595)
Sc (0.438, 0.927, 0.172)
Sc (0.062, 0.828, 0.073)
Th (0.948, 0.507, 0.252)
Th (0.448, 0.252, 0.507)
Th (0.552, 0.748, 0.493)
Th (0.052, 0.493, 0.748)
Dy (0.750, 0.375, 0.625)
Dy (0.782, 0.046, 0.277)
Dy (0.218, 0.954, 0.723)
Dy (0.250, 0.625, 0.375)
Dy (0.282, 0.277, 0.046)
Dy (0.718, 0.723, 0.954)


Material: Dy3Th3Sc8
Method: DFT, PBE
State: optimized geometry

Summary:
- ΔH_f (0 K) (meV/atom) = 128
- calculated volume (A^3/atom) = 27.94
- Fermi-level density of states (states/eV/cell) = 20.8

abc: 5.349 9.181 9.181
angles: 101.87 73.06 73.06
Sites, in units of the cell vectors:
Sc (0.659, 0.117, 0.565)
Sc (0.341, 0.435, 0.883)
Sc (0.158, 0.444, 0.239)
Sc (0.659, 0.565, 0.117)
Sc (0.842, 0.556, 0.761)
Sc (0.158, 0.239, 0.444)
Sc (0.842, 0.761, 0.556)
Sc (0.341, 0.883, 0.435)
Th (0.000, 0.811, 0.189)
Th (0.000, 0.189, 0.811)
Th (0.500, 0.000, 0.000)
Dy (0.500, 0.500, 0.500)
Dy (0.197, 0.803, 0.803)
Dy (0.803, 0.197, 0.197)


Material: Dy2Th2Sc7
Method: DFT, PBE
State: optimized geometry

Summary:
- ΔH_f (0 K) (meV/atom) = 142
- calculated volume (A^3/atom) = 27.60
- Fermi-level density of states (states/eV/cell) = 15.9
- energy relative to the lowest polymorph listed for this composition (meV/atom) = 0

abc: 3.448 9.877 9.877
angles: 67.38 100.04 100.04
Sites, in units of the cell vectors:
Sc (0.171, 0.436, 0.906)
Sc (0.381, 0.381, 0.381)
Sc (0.171, 0.906, 0.436)
Sc (0.829, 0.564, 0.094)
Sc (0.000, 0.000, 0.000)
Sc (0.829, 0.094, 0.564)
Sc (0.619, 0.619, 0.619)
Dy (0.689, 0.188, 0.188)
Dy (0.311, 0.812, 0.812)
Th (0.500, 0.738, 0.262)
Th (0.500, 0.262, 0.738)


Which formula does entry 10 have?
Dy3Th2Sc4


ΔH_f (0 K) of number 1 (Dy7ThSc3)?
216 meV/atom


Look up the calculated volume of the second one.
26.86 A^3/atom


Copy entry 12 word for word.
Material: Dy2Th2Sc7
Method: DFT, PBE
State: optimized geometry

Summary:
- ΔH_f (0 K) (meV/atom) = 142
- calculated volume (A^3/atom) = 27.60
- Fermi-level density of states (states/eV/cell) = 15.9
- energy relative to the lowest polymorph listed for this composition (meV/atom) = 0

abc: 3.448 9.877 9.877
angles: 67.38 100.04 100.04
Sites, in units of the cell vectors:
Sc (0.171, 0.436, 0.906)
Sc (0.381, 0.381, 0.381)
Sc (0.171, 0.906, 0.436)
Sc (0.829, 0.564, 0.094)
Sc (0.000, 0.000, 0.000)
Sc (0.829, 0.094, 0.564)
Sc (0.619, 0.619, 0.619)
Dy (0.689, 0.188, 0.188)
Dy (0.311, 0.812, 0.812)
Th (0.500, 0.738, 0.262)
Th (0.500, 0.262, 0.738)